(1)
Computed, not measured: a relaxed GaNi2S crystal at the PBE level of DFT.

Properties
* ρ: 5.98 g/cm3
* DFT total energy: -4.84 eV/atom
* formation energy from raw total energies: -61.6 kJ/mol of formula units

Unit cell a=4.1825 b=4.1825 c=13.9099 alpha=90.00 beta=90.00 gamma=90.00
Last column: nearest neighbours and their distance in Å.
Space group I-42d (No. 122)
Inequivalent atoms, fractional coordinates:
Ga 0.0000 0.0000 0.0000 x4  4 Ni 2.43
Ni 0.1794 0.2500 0.6250 x8  2 S 2.16
S 0.0000 0.0000 0.5000 x4  4 Ni 2.16

---

(2)
Computed, not measured: a relaxed Mg2Nb2Si crystal at the PBE level of DFT.

Properties
* ρ: 4.38 g/cm3
* DFT total energy: -5.64 eV/atom
* energy above the lowest structure with this stoichiometry: 0 meV per atom
* formation energy from raw total energies: 53.6 kJ/mol of formula units

Unit cell a=6.5971 b=6.5971 c=4.5755 alpha=90.00 beta=90.00 gamma=90.00
Last column: nearest neighbours and their distance in Å.
Space group P4/mbm (No. 127)
Inequivalent atoms, fractional coordinates:
Mg 0.1576 0.3424 0.0000 x4  6 Nb 2.92-3.05, 1 Mg 2.94
Nb 0.1471 0.6471 0.5000 x4  2 Si 2.52, 1 Nb 2.74
Si 0.0000 0.0000 0.5000 x2  4 Nb 2.52

---

(3)
Computed, not measured: a relaxed VAgS2Cl crystal at the PBE level of DFT.

Properties
* ρ: 3.82 g/cm3
* DFT total energy: -3.57 eV/atom
* energy above the lowest structure with this stoichiometry: 1081 meV per atom
* formation energy from raw total energies: 407.6 kJ/mol of formula units

Unit cell a=4.8735 b=4.8735 c=4.7236 alpha=90.00 beta=90.00 gamma=90.00
Last column: nearest neighbours and their distance in Å.
Space group P4/mmm (No. 123)
Inequivalent atoms, fractional coordinates:
V 0.0000 0.0000 0.0000 x1  8 S 3.39, 4 Cl 3.45
Ag 0.5000 0.5000 0.5000 x1  2 Cl 2.36, 4 S 2.44
S 0.0000 0.5000 0.5000 x2  2 Ag 2.44
Cl 0.5000 0.5000 0.0000 x1  2 Ag 2.36